*a*
CsSbH2Pt: relaxed, GGA-PBE.

```
CsSbH2Pt
1.0
4.488 0.000 0.000
1.679 4.163 0.000
0.238 0.151 6.163
Cs Sb H Pt
1 1 2 1
Direct
0.000 0.000 0.000 Cs
0.675 0.671 0.533 Sb
0.081 0.077 0.474 H
0.495 0.491 0.311 H
0.298 0.293 0.465 Pt
```

Summary:
magnetization = 0.00 μB/f.u.

---

*b*
CsSbH2Pt: relaxed, GGA-PBE.

```
CsSbH2Pt
1.0
4.748 0.000 0.000
0.000 3.501 0.000
-1.970 0.000 6.459
Cs Sb H Pt
1 1 2 1
Direct
0.000 0.000 0.000 Cs
0.678 0.500 0.413 Sb
0.223 0.000 0.618 H
0.489 0.500 0.822 H
0.245 0.500 0.593 Pt
```

Summary:
magnetization = 0.00 μB/f.u.

---

Stability check: which of them is least stable? *b*.

---

*a*
Cs2RbTlH: relaxed, GGA-PBE.

```
Cs2RbTlH
1.0
6.237 0.000 0.000
0.000 6.237 0.000
0.000 0.000 5.977
Cs Rb Tl H
2 1 1 1
Direct
0.000 0.500 0.000 Cs
0.500 0.000 0.000 Cs
0.000 0.000 0.500 Rb
0.500 0.500 0.500 Tl
0.000 0.000 0.000 H
```

Summary:
magnetization = 0.00 μB/f.u.

---

*b*
Cs2RbTlH: relaxed, GGA-PBE.

```
Cs2RbTlH
1.0
6.351 0.000 0.000
0.000 6.351 0.000
0.000 0.000 6.007
Cs Rb Tl H
2 1 1 1
Direct
0.000 0.500 0.000 Cs
0.500 0.000 0.000 Cs
0.000 0.000 0.500 Rb
0.500 0.500 0.500 Tl
0.500 0.500 0.000 H
```

Summary:
magnetization = 0.60 μB/f.u.

---

Stability check: which of them is least stable? *b*.

---

*a*
CsRbZnH2: relaxed, GGA-PBE.

```
CsRbZnH2
1.0
4.922 0.000 0.000
0.784 5.691 0.000
0.932 2.676 5.483
Cs Rb Zn H
1 1 1 2
Direct
0.000 0.000 0.000 Cs
0.435 0.363 0.348 Rb
0.638 0.665 0.650 Zn
0.501 0.863 0.356 H
0.872 0.477 0.514 H
```

Summary:
magnetization = 0.00 μB/f.u.

---

*b*
CsRbZnH2: relaxed, GGA-PBE.

```
CsRbZnH2
1.0
4.146 0.000 0.000
0.000 6.307 0.000
-1.984 0.000 6.378
Cs Rb Zn H
1 1 1 2
Direct
0.000 0.000 0.000 Cs
0.776 0.500 0.534 Rb
0.485 0.500 0.971 Zn
0.395 0.290 0.783 H
0.395 0.710 0.783 H
```

Summary:
magnetization = 0.00 μB/f.u.

---

*c*
CsRbZnH2: relaxed, GGA-PBE.

```
CsRbZnH2
1.0
5.288 0.000 0.000
-0.021 5.944 0.000
-0.068 -2.572 5.375
Cs Rb Zn H
1 1 1 2
Direct
0.000 0.000 0.000 Cs
0.507 0.297 0.636 Rb
0.481 0.625 0.275 Zn
0.011 0.423 0.790 H
0.498 0.285 0.136 H
```

Summary:
magnetization = 0.00 μB/f.u.

---

*d*
CsRbZnH2: relaxed, GGA-PBE.

```
CsRbZnH2
1.0
4.043 0.000 0.000
0.000 6.422 0.000
0.000 0.000 6.194
Cs Rb Zn H
1 1 1 2
Direct
0.000 0.000 0.000 Cs
0.000 0.500 0.472 Rb
0.500 0.500 0.006 Zn
0.500 0.294 0.201 H
0.500 0.706 0.201 H
```

Summary:
magnetization = 0.00 μB/f.u.

---

Stability check: which of them is least stable? *c*.

---

*a*
CsRbZnH2: relaxed, GGA-PBE.

```
CsRbZnH2
1.0
3.811 -2.197 0.000
3.811 2.197 0.000
-2.457 0.000 9.738
Cs Rb Zn H
1 1 1 2
Direct
0.000 0.000 0.000 Cs
0.786 0.786 0.373 Rb
0.549 0.549 0.665 Zn
0.399 0.399 0.207 H
0.619 0.619 0.850 H
```

Summary:
magnetization = 0.00 μB/f.u.

---

*b*
CsRbZnH2: relaxed, GGA-PBE.

```
CsRbZnH2
1.0
6.819 -2.848 0.000
6.819 2.848 0.000
-0.019 0.000 3.995
Cs Rb Zn H
1 1 1 2
Direct
0.000 0.000 0.000 Cs
0.737 0.737 0.995 Rb
0.279 0.279 0.496 Zn
0.121 0.599 0.497 H
0.599 0.121 0.497 H
```

Summary:
magnetization = 0.00 μB/f.u.

---

Stability check: which of them is least stable? *b*.